Record 1
The following is a DFT calculation (PBE) of Mg3TcRu after structural relaxation.

abc: 4.8262 4.8262 4.8262
angles: 90.00 90.00 90.00
With the nearest neighbours (Å) after each atom.
Atoms (fractional coordinates):
Ru: 0.0000 0.0000 0.0000  6 Mg 2.41
Mg: 0.0000 0.5000 0.0000  2 Ru 2.41
Mg: 0.0000 0.0000 0.5000  2 Ru 2.41
Mg: 0.5000 0.0000 0.0000  2 Ru 2.41
Tc: 0.5000 0.5000 0.5000  12 Mg 3.41

## Properties
density of states at the Fermi level	4.4	states/eV/f.u.
magnetic moment	3.54	μB per cell
E_tot	-3.87	eV/atom
energy of formation	1.0137	eV per atom

Record 2
The following is a DFT calculation (PBE) of TcTeRh after structural relaxation.

abc: 3.1594 3.1591 12.8313
angles: 90.00 90.00 120.00
With the nearest neighbours (Å) after each atom.
Atoms (fractional coordinates):
Rh: 0.5562 0.1125 0.0000  6 Tc 2.69
Rh: 0.5524 0.1048 0.5000  2 Te 2.53
Te: 0.5561 0.1123 0.3030  1 Rh 2.53, 3 Tc 2.64
Te: 0.5561 0.1123 0.6970  1 Rh 2.53, 3 Tc 2.64
Tc: 0.2228 0.4457 0.8457  3 Te 2.64, 3 Rh 2.69
Tc: 0.2228 0.4457 0.1543  3 Te 2.64, 3 Rh 2.69

## Properties
density of states at the Fermi level	2.6	states/eV/f.u.
magnetic moment	0.00	μB per cell
ΔE_f (raw)	375.5	meV per atom
E_tot	-6.58	eV/atom

Record 3
The following is a DFT calculation (PBE) of InMo12PbS16 after structural relaxation.

abc: 9.3710 9.3710 9.3710
angles: 59.35 59.35 59.35
With the nearest neighbours (Å) after each atom.
Atoms (fractional coordinates):
In: 0.5000 0.5000 0.5000  2 S 2.80
Mo: 0.1861 0.3757 0.0386  5 S 2.40-2.56
Mo: 0.6861 0.8751 0.5407  5 S 2.40-2.57
Mo: 0.3757 0.0386 0.1861  5 S 2.40-2.56
Mo: 0.8751 0.5407 0.6861  5 S 2.40-2.57
Mo: 0.0386 0.1861 0.3757  5 S 2.40-2.56
Mo: 0.5407 0.6861 0.8751  5 S 2.40-2.57
Mo: 0.3139 0.1249 0.4593  5 S 2.40-2.57
Mo: 0.8139 0.6243 0.9614  5 S 2.40-2.56
Mo: 0.1249 0.4593 0.3139  5 S 2.40-2.57
Mo: 0.6243 0.9614 0.8139  5 S 2.40-2.56
Mo: 0.4593 0.3139 0.1249  5 S 2.40-2.57
Mo: 0.9614 0.8139 0.6243  5 S 2.40-2.56
Pb: 0.0000 0.0000 0.0000  2 S 2.80
S: 0.1216 0.1216 0.1216  3 Mo 2.40
S: 0.6214 0.6214 0.6214  3 Mo 2.40
S: 0.3786 0.3786 0.3786  3 Mo 2.40
S: 0.8784 0.8784 0.8784  3 Mo 2.40
S: 0.2405 0.8867 0.4967  4 Mo 2.44-2.56
S: 0.7407 0.3852 0.9985  4 Mo 2.46-2.57
S: 0.8867 0.4967 0.2405  4 Mo 2.44-2.56
S: 0.3852 0.9985 0.7407  4 Mo 2.46-2.57
S: 0.4967 0.2405 0.8867  4 Mo 2.44-2.56
S: 0.9985 0.7407 0.3852  4 Mo 2.46-2.57
S: 0.2593 0.6148 0.0015  4 Mo 2.46-2.57
S: 0.7595 0.1133 0.5033  4 Mo 2.44-2.56
S: 0.6148 0.0015 0.2593  4 Mo 2.46-2.57
S: 0.1133 0.5033 0.7595  4 Mo 2.44-2.56
S: 0.0015 0.2593 0.6148  4 Mo 2.46-2.57
S: 0.5033 0.7595 0.1133  4 Mo 2.44-2.56

## Properties
density of states at the Fermi level	23.5	states/eV/f.u.
magnetic moment	0.00	μB per cell
ΔE_f (raw)	-660.2	meV per atom
E_tot	-7.41	eV/atom

Record 4
The following is a DFT calculation (PBE) of GdTlCdPd after structural relaxation.

abc: 5.0250 5.0250 5.0250
angles: 60.00 60.00 60.00
With the nearest neighbours (Å) after each atom.
Atoms (fractional coordinates):
Tl: 0.7500 0.7500 0.7500  4 Gd 3.08, 4 Cd 3.08
Gd: 0.5000 0.5000 0.5000  4 Pd 3.08, 4 Tl 3.08
Pd: 0.2500 0.2500 0.2500  4 Gd 3.08, 4 Cd 3.08
Cd: 0.0000 0.0000 0.0000  4 Tl 3.08, 4 Pd 3.08

## Properties
density of states at the Fermi level	1.0	states/eV/f.u.
magnetic moment	7.08	μB per cell
E_tot	-6.05	eV/atom
energy of formation	-0.4140	eV per atom

Record 5
The following is a DFT calculation (PBE) of TiIn2Hg2 after structural relaxation.

abc: 7.7656 7.7656 3.9657
angles: 90.00 90.00 90.00
With the nearest neighbours (Å) after each atom.
Atoms (fractional coordinates):
Ti: 0.0000 0.0000 0.0000  4 In 3.00
Ti: 0.5000 0.5000 0.0000  4 In 3.00
Hg: 0.1642 0.6642 0.5000  6 In 2.92-3.10
Hg: 0.6642 0.8358 0.5000  6 In 2.92-3.10
Hg: 0.8358 0.3358 0.5000  6 In 2.92-3.10
Hg: 0.3358 0.1642 0.5000  6 In 2.92-3.10
In: 0.3591 0.8591 0.0000  6 Hg 2.92-3.10, 2 Ti 3.00, 1 In 3.09
In: 0.8591 0.6409 0.0000  6 Hg 2.92-3.10, 2 Ti 3.00, 1 In 3.09
In: 0.6409 0.1409 0.0000  6 Hg 2.92-3.10, 2 Ti 3.00, 1 In 3.09
In: 0.1409 0.3591 0.0000  6 Hg 2.92-3.10, 2 Ti 3.00, 1 In 3.09

## Properties
density of states at the Fermi level	4.1	states/eV/f.u.
magnetic moment	3.23	μB per cell
E_tot	-2.52	eV/atom
energy of formation	0.2762	eV per atom

Record 6
The following is a DFT calculation (PBE) of Sc4GaSb2 after structural relaxation.

abc: 4.0144 7.0327 7.3368
angles: 117.37 105.88 90.00
With the nearest neighbours (Å) after each atom.
Atoms (fractional coordinates):
Sc: 0.8899 0.2464 0.7798  1 Ga 2.83, 3 Sb 2.89-2.94
Sc: 0.1101 0.7536 0.2202  1 Ga 2.83, 3 Sb 2.89-2.94
Sc: 0.6113 0.3164 0.2226  2 Ga 2.85, 3 Sb 2.87-2.95
Sc: 0.3887 0.6836 0.7774  2 Ga 2.85, 3 Sb 2.87-2.95
Ga: 0.0000 0.0000 0.0000  6 Sc 2.83-2.85, 2 Sb 2.96
Sb: 0.7615 0.7716 0.5231  6 Sc 2.87-2.95, 1 Ga 2.96
Sb: 0.2385 0.2284 0.4769  6 Sc 2.87-2.95, 1 Ga 2.96

## Properties
density of states at the Fermi level	6.2	states/eV/f.u.
magnetic moment	0.00	μB per cell
ΔE_f (raw)	-518.4	meV per atom
E_tot	-5.75	eV/atom

Record 7
The following is a DFT calculation (PBE) of Hf5ScPt6 after structural relaxation.

abc: 5.0293 6.7707 8.2121
angles: 62.97 64.97 80.36
With the nearest neighbours (Å) after each atom.
Atoms (fractional coordinates):
Sc: 0.0000 0.0000 0.0000  4 Pt 2.75-2.84
Hf: 0.6396 0.1972 0.7010  7 Pt 2.69-2.96
Hf: 0.3620 0.2678 0.3842  6 Pt 2.71-2.90
Hf: 0.0000 0.5000 0.0000  8 Pt 2.67-2.95
Hf: 0.6380 0.7322 0.6158  6 Pt 2.71-2.90
Hf: 0.3604 0.8028 0.2990  7 Pt 2.69-2.96
Pt: 0.8999 0.5799 0.3327  6 Hf 2.71-2.93, 1 Sc 2.84, 3 Pt 2.98-3.02
Pt: 0.9216 0.1304 0.3356  6 Hf 2.67-2.94, 1 Pt 2.83
Pt: 0.4707 0.7263 0.9820  5 Hf 2.69-2.96, 1 Sc 2.75, 3 Pt 2.92-3.01
Pt: 0.5293 0.2737 0.0180  5 Hf 2.69-2.96, 1 Sc 2.75, 3 Pt 2.92-3.01
Pt: 0.0784 0.8696 0.6644  6 Hf 2.67-2.94, 1 Pt 2.83
Pt: 0.1001 0.4201 0.6673  6 Hf 2.71-2.93, 1 Sc 2.84, 3 Pt 2.98-3.02

## Properties
density of states at the Fermi level	5.4	states/eV/f.u.
magnetic moment	0.00	μB per cell
E_tot	-8.76	eV/atom
energy of formation	-1.0694	eV per atom

Record 8
The following is a DFT calculation (PBE) of CsTiSb2I after structural relaxation.

abc: 5.3057 5.3057 6.4318
angles: 90.00 90.00 90.00
With the nearest neighbours (Å) after each atom.
Atoms (fractional coordinates):
Cs: 0.5000 0.5000 0.5000  4 I 3.75, 8 Sb 4.17
I: 0.0000 0.0000 0.5000  2 Ti 3.22
Ti: 0.0000 0.0000 0.0000  4 Sb 2.65
Sb: 0.0000 0.5000 0.0000  2 Ti 2.65
Sb: 0.5000 0.0000 0.0000  2 Ti 2.65

## Properties
density of states at the Fermi level	2.4	states/eV/f.u.
magnetic moment	0.00	μB per cell
ΔE_f (raw)	-410.0	meV per atom
E_tot	-4.12	eV/atom

Record 9
The following is a DFT calculation (PBE) of BaPr2Pb9 after structural relaxation.

abc: 5.0261 5.0261 14.9243
angles: 90.00 90.00 90.00
With the nearest neighbours (Å) after each atom.
Atoms (fractional coordinates):
Ba: 0.0000 0.0000 0.0000  12 Pb 3.55-3.62
Pr: 0.0000 0.0000 0.3394  12 Pb 3.47-3.55
Pr: 0.0000 0.0000 0.6606  12 Pb 3.47-3.55
Pb: 0.5000 0.5000 0.0000  4 Ba 3.55, 8 Pb 3.62
Pb: 0.5000 0.5000 0.3361  8 Pb 3.48-3.51, 4 Pr 3.55
Pb: 0.5000 0.5000 0.6639  8 Pb 3.48-3.51, 4 Pr 3.55
Pb: 0.5000 0.0000 0.1747  8 Pb 3.48-3.62, 2 Pr 3.52, 2 Ba 3.62
Pb: 0.5000 0.0000 0.5000  4 Pr 3.47, 8 Pb 3.51-3.55
Pb: 0.5000 0.0000 0.8253  8 Pb 3.48-3.62, 2 Pr 3.52, 2 Ba 3.62
Pb: 0.0000 0.5000 0.1747  8 Pb 3.48-3.62, 2 Pr 3.52, 2 Ba 3.62
Pb: 0.0000 0.5000 0.5000  4 Pr 3.47, 8 Pb 3.51-3.55
Pb: 0.0000 0.5000 0.8253  8 Pb 3.48-3.62, 2 Pr 3.52, 2 Ba 3.62

## Properties
density of states at the Fermi level	6.3	states/eV/f.u.
magnetic moment	0.00	μB per cell
E_tot	-4.12	eV/atom
energy of formation	-0.3790	eV per atom

Record 10
The following is a DFT calculation (PBE) of LiSmGe2Pt after structural relaxation.

abc: 4.1365 4.1365 6.1377
angles: 109.69 109.69 90.00
With the nearest neighbours (Å) after each atom.
Atoms (fractional coordinates):
Li: 0.7500 0.2500 0.5000  4 Ge 2.53
Sm: 0.0000 0.0000 0.0000  8 Ge 3.18, 4 Li 3.40, 4 Pt 3.40
Ge: 0.6153 0.6153 0.2306  1 Ge 2.49, 2 Pt 2.53, 2 Li 2.53
Ge: 0.3847 0.3847 0.7694  1 Ge 2.49, 2 Li 2.53, 2 Pt 2.53
Pt: 0.2500 0.7500 0.5000  4 Ge 2.53

## Properties
density of states at the Fermi level	2.5	states/eV/f.u.
magnetic moment	0.00	μB per cell
E_tot	-5.21	eV/atom
energy of formation	-0.8329	eV per atom

Record 11
The following is a DFT calculation (PBE) of Pr6Ir3Pb after structural relaxation.

abc: 4.2749 12.0408 12.4439
angles: 107.52 90.00 90.00
With the nearest neighbours (Å) after each atom.
Atoms (fractional coordinates):
Pr: 0.7500 0.4737 0.6093  4 Ir 2.89-3.16
Pr: 0.2500 0.5263 0.3907  4 Ir 2.89-3.16
Pr: 0.7500 0.9241 0.0868  3 Ir 2.85-2.93
Pr: 0.2500 0.0759 0.9132  3 Ir 2.85-2.93
Pr: 0.7500 0.3915 0.0500  4 Ir 2.90-2.98
Pr: 0.2500 0.6085 0.9500  4 Ir 2.90-2.98
Pr: 0.7500 0.7069 0.2644  3 Ir 2.91-3.06
Pr: 0.2500 0.2931 0.7356  3 Ir 2.91-3.06
Pr: 0.7500 0.1450 0.4667  2 Ir 2.94
Pr: 0.2500 0.8550 0.5333  2 Ir 2.94
Pr: 0.7500 0.7908 0.7644  3 Ir 2.83-3.15
Pr: 0.2500 0.2092 0.2356  3 Ir 2.83-3.15
Ir: 0.7500 0.4549 0.8361  6 Pr 2.90-2.98
Ir: 0.2500 0.5451 0.1639  6 Pr 2.90-2.98
Ir: 0.7500 0.6798 0.5007  7 Pr 2.89-3.16
Ir: 0.2500 0.3202 0.4993  7 Pr 2.89-3.16
Ir: 0.7500 0.1587 0.0795  6 Pr 2.83-2.93
Ir: 0.2500 0.8413 0.9205  6 Pr 2.83-2.93
Pb: 0.7500 0.0524 0.6944  8 Pr 3.34-3.51
Pb: 0.2500 0.9476 0.3056  8 Pr 3.34-3.51

## Properties
density of states at the Fermi level	6.7	states/eV/f.u.
magnetic moment	0.00	μB per cell
E_tot	-6.44	eV/atom
energy of formation	-0.5388	eV per atom